[1]
A plane-wave DFT calculation with PBE was carried out for Cs4Pm3ErSe8 after structural relaxation.

Structure (POSCAR):
```
Cs4Pm3ErSe8
1.0
4.339 2.505 8.395
-4.339 2.505 8.395
0.000 -5.011 8.395
Cs Pm Er Se
4 3 1 8
Direct
0.000 0.000 0.000 Cs
0.000 0.500 0.500 Cs
0.500 0.000 0.500 Cs
0.500 0.500 0.000 Cs
0.000 0.000 0.500 Pm
0.000 0.500 0.000 Pm
0.500 0.000 0.000 Pm
0.500 0.500 0.500 Er
0.230 0.230 0.230 Se
0.237 0.725 0.725 Se
0.275 0.275 0.763 Se
0.275 0.763 0.275 Se
0.725 0.237 0.725 Se
0.725 0.725 0.237 Se
0.763 0.275 0.275 Se
0.770 0.770 0.770 Se
```

## Properties
Calculated volume = 34.2 A^3/atom
Symmetry = R-3m, No. 166
Energy relative to the elements, uncorrected = -1.726 eV/atom

[2]
A plane-wave DFT calculation with PBE was carried out for Er3CdIr after structural relaxation.

Structure (POSCAR):
```
Er3CdIr
1.0
7.680 -2.122 0.000
7.680 2.122 0.000
-5.671 0.000 8.178
Er Cd Ir
6 2 2
Direct
0.095 0.095 0.451 Er
0.333 0.333 0.196 Er
0.361 0.361 0.783 Er
0.639 0.639 0.217 Er
0.667 0.667 0.804 Er
0.905 0.905 0.549 Er
0.074 0.074 0.933 Cd
0.926 0.926 0.067 Cd
0.269 0.269 0.408 Ir
0.731 0.731 0.592 Ir
```

## Properties
Calculated volume = 26.7 A^3/atom
Symmetry = C2/m, No. 12
E_form = -0.489 eV per atom

[3]
A plane-wave DFT calculation with PBE was carried out for YAl2Te after structural relaxation.

Structure (POSCAR):
```
YAl2Te
1.0
4.209 0.000 0.000
0.000 4.687 0.000
0.000 0.000 9.292
Y Al Te
2 4 2
Direct
0.000 0.000 0.000 Y
0.500 0.500 0.500 Y
0.000 0.000 0.471 Al
0.000 0.500 0.750 Al
0.500 0.000 0.250 Al
0.500 0.500 0.971 Al
0.000 0.500 0.244 Te
0.500 0.000 0.744 Te
```

## Properties
Calculated volume = 22.9 A^3/atom
Symmetry = Imm2, No. 44
Energy relative to the elements, uncorrected = -0.355 eV/atom

[4]
A plane-wave DFT calculation with PBE was carried out for KLiCl after structural relaxation.

Structure (POSCAR):
```
KLiCl
1.0
3.953 0.000 0.000
0.000 7.631 0.000
0.000 0.000 14.476
K Li Cl
4 4 4
Direct
0.000 0.000 0.000 K
0.000 0.500 0.500 K
0.500 0.000 0.500 K
0.500 0.500 0.000 K
0.000 0.000 0.259 Li
0.000 0.500 0.759 Li
0.500 0.000 0.759 Li
0.500 0.500 0.259 Li
0.000 0.000 0.669 Cl
0.000 0.500 0.169 Cl
0.500 0.000 0.169 Cl
0.500 0.500 0.669 Cl
```

## Properties
Calculated volume = 36.4 A^3/atom
Symmetry = Fmm2, No. 42
Energy relative to the elements, uncorrected = -1.045 eV/atom

[5]
A plane-wave DFT calculation with PBE was carried out for Rb6I4Br after structural relaxation.

Structure (POSCAR):
```
Rb6I4Br
1.0
7.459 4.306 6.016
-7.459 4.306 6.016
0.000 -8.613 6.016
Rb I Br
12 8 2
Direct
0.057 0.918 0.692 Rb
0.082 0.308 0.943 Rb
0.192 0.418 0.557 Rb
0.308 0.943 0.082 Rb
0.418 0.557 0.192 Rb
0.443 0.808 0.582 Rb
0.557 0.192 0.418 Rb
0.582 0.443 0.808 Rb
0.692 0.057 0.918 Rb
0.808 0.582 0.443 Rb
0.918 0.692 0.057 Rb
0.943 0.082 0.308 Rb
0.130 0.750 0.370 I
0.250 0.250 0.250 I
0.250 0.630 0.870 I
0.370 0.130 0.750 I
0.630 0.870 0.250 I
0.750 0.370 0.130 I
0.750 0.750 0.750 I
0.870 0.250 0.630 I
0.000 0.000 0.000 Br
0.500 0.500 0.500 Br
```

## Properties
Calculated volume = 52.7 A^3/atom
Symmetry = R-3c, No. 167
Energy relative to the elements, uncorrected = -1.327 eV/atom

[6]
A plane-wave DFT calculation with PBE was carried out for Rb2PBr2Cl4 after structural relaxation.

Structure (POSCAR):
```
Rb2PBr2Cl4
1.0
-3.677 3.677 5.065
3.677 -3.677 5.065
3.677 3.677 -5.065
Rb P Br Cl
2 1 2 4
Direct
0.250 0.750 0.500 Rb
0.750 0.250 0.500 Rb
0.000 0.000 0.000 P
0.245 0.245 0.000 Br
0.755 0.755 0.000 Br
0.222 0.222 0.444 Cl
0.222 0.778 0.000 Cl
0.778 0.222 0.000 Cl
0.778 0.778 0.556 Cl
```

## Properties
Calculated volume = 30.4 A^3/atom
Symmetry = I4/mmm, No. 139
Energy relative to the elements, uncorrected = -1.093 eV/atom

| no. | total energy (eV/atom) |
| --- | --- |
| 1 | -4.86 |
| 2 | -5.18 |
| 3 | -4.63 |
| 4 | -2.66 |
| 5 | -2.57 |
| 6 | -3.10 |